The following is a PBE with a Hubbard U calculation of CsKMnO3 after structural relaxation, from Alexandria via LeMat-Bulk.

abc: 5.703 6.420 6.793
angles: 61.80 89.92 89.84
Each line ends with the local moment (μB).
Fractional coordinates of all 12 atoms:
1 K 0.250 0.587 0.825  0.00
2 K 0.750 0.413 0.175  0.00
3 Cs 0.250 0.253 0.493  0.01
4 Cs 0.750 0.747 0.507  0.01
5 O 0.000 0.805 0.001  -0.07
6 O 0.250 0.813 0.374  -0.06
7 O 0.500 0.806 0.999  -0.07
8 O 0.000 0.195 0.999  -0.07
9 O 0.500 0.194 0.001  -0.07
10 O 0.750 0.187 0.626  -0.06
11 Mn 0.250 0.964 0.073  3.15
12 Mn 0.750 0.036 0.927  3.15

The electronic total energy comes out at -65.65 eV per cell. The calculation puts the total magnetization at 6.00 μB per cell.